Cr2Fe2Os: relaxed, PBE.

Summary:
Relative energy among the computed polymorphs (eV/f.u.): 0.37
N(E_F) (states/eV/cell): 9.2

Cell lengths 6.765, 6.765, 2.570 Å; angles 90.00, 90.00, 90.00 degrees
Space group P4/mbm (No. 127)
Unique sites:
Cr 0.120 0.380 0.000 x4
Fe 0.178 0.678 0.500 x4
Os 0.000 0.000 0.000 x2

Cr2FeOs: relaxed, PBE.

Summary:
Relative energy among the computed polymorphs (eV/f.u.): 0.14
N(E_F) (states/eV/cell): 12.2

Cell lengths 5.835, 5.835, 5.835 Å; angles 90.00, 90.00, 90.00 degrees
Space group Fm-3m (No. 225)
Unique sites:
Cr 0.250 0.250 0.250 x8
Fe 0.000 0.000 0.000 x4
Os 0.000 0.000 0.500 x4

Cr2FeOs: relaxed, PBE.

Summary:
Relative energy among the computed polymorphs (eV/f.u.): 0.59
N(E_F) (states/eV/cell): 16.2

Cell lengths 2.6316, 2.6316, 24.9902 Å; angles 90.00, 90.00, 120.00 degrees
Space group R3m (No. 160, hexagonal axes)
Unique sites:
Cr 0.0000 0.0000 0.0000 x3
Cr 0.0000 0.0000 0.2498 x3
Fe 0.0000 0.0000 0.5057 x3
Os 0.0000 0.0000 0.7504 x3

CrFeOs: relaxed, PBE.

Summary:
Relative energy among the computed polymorphs (eV/f.u.): 0.38
N(E_F) (states/eV/cell): 3.2

Cell lengths 2.6408, 2.6408, 6.3015 Å; angles 90.00, 90.00, 120.00 degrees
Space group P3m1 (No. 156)
Unique sites:
Cr 0.0000 0.0000 0.0000 x1
Fe 0.6667 0.3333 0.3202 x1
Os 0.3333 0.6667 0.6656 x1

| no. | total magnetization (μB per formula unit) |
| --- | --- |
| 1 | 0.00 |
| 2 | 3.65 |
| 3 | 0.98 |
| 4 | 1.80 |